[1]
Nd2EuPt | PBE | relaxed

Computed properties:
For the formation energy, the calculation gives -493 meV per atom. As for the space group: R-3m. The calculation puts the excess energy over the best structure of this formula in the dataset at 0.00 eV/f.u. For the raw total energy, the calculation gives -6.9562 eV per atom. The value obtained for the total magnetic moment is 23.60 μB/cell.

```
Nd2EuPt
1.0
4.154 0.000 0.000
-2.077 3.598 0.000
0.000 0.000 28.874
Nd Eu Pt
6 3 3
direct
0.000 0.000 0.222
0.000 0.000 0.778
0.333 0.667 0.444
0.333 0.667 0.889
0.667 0.333 0.111
0.667 0.333 0.556
0.000 0.000 0.000
0.333 0.667 0.667
0.667 0.333 0.333
0.000 0.000 0.500
0.333 0.667 0.167
0.667 0.333 0.833
```

***

[2]
Nd2EuPt | PBE | relaxed

Computed properties:
For the formation energy, the calculation gives -485 meV per atom. As for the space group: P4/mmm. The calculation puts the excess energy over the best structure of this formula in the dataset at 0.03 eV/f.u. For the raw total energy, the calculation gives -6.9481 eV per atom. The value obtained for the total magnetic moment is 8.30 μB/cell.

```
Nd2EuPt
1.0
3.695 0.000 0.000
0.000 3.695 0.000
0.000 0.000 9.189
Nd Eu Pt
2 1 1
direct
0.000 0.000 0.181
0.000 0.000 0.819
0.500 0.500 0.500
0.500 0.500 0.000
```

***

[3]
NdEuPtRh | PBE | relaxed

Computed properties:
For the formation energy, the calculation gives -735 meV per atom. As for the space group: F-43m. For the raw total energy, the calculation gives -7.8434 eV per atom. The value obtained for the total magnetic moment is 26.84 μB/cell.

```
NdEuPtRh
1.0
7.126 0.000 0.000
0.000 7.126 0.000
0.000 0.000 7.126
Nd Eu Pt Rh
4 4 4 4
direct
0.000 0.000 0.000
0.000 0.500 0.500
0.500 0.000 0.500
0.500 0.500 0.000
0.000 0.000 0.500
0.000 0.500 0.000
0.500 0.000 0.000
0.500 0.500 0.500
0.250 0.250 0.750
0.250 0.750 0.250
0.750 0.250 0.250
0.750 0.750 0.750
0.250 0.250 0.250
0.250 0.750 0.750
0.750 0.250 0.750
0.750 0.750 0.250
```

***

[4]
NdEuSnPt | PBE | relaxed

Computed properties:
For the formation energy, the calculation gives -728 meV per atom. As for the space group: F-43m. For the raw total energy, the calculation gives -6.9992 eV per atom. The value obtained for the total magnetic moment is 27.50 μB/cell.

```
NdEuSnPt
1.0
7.513 0.000 0.000
0.000 7.513 0.000
0.000 0.000 7.513
Nd Eu Sn Pt
4 4 4 4
direct
0.000 0.000 0.000
0.000 0.500 0.500
0.500 0.000 0.500
0.500 0.500 0.000
0.000 0.000 0.500
0.000 0.500 0.000
0.500 0.000 0.000
0.500 0.500 0.500
0.250 0.250 0.250
0.250 0.750 0.750
0.750 0.250 0.750
0.750 0.750 0.250
0.250 0.250 0.750
0.250 0.750 0.250
0.750 0.250 0.250
0.750 0.750 0.750
```

***

[5]
NdEuTlPt | PBE | relaxed

Computed properties:
For the formation energy, the calculation gives -586 meV per atom. As for the space group: F-43m. For the raw total energy, the calculation gives -6.4485 eV per atom. The value obtained for the total magnetic moment is 28.29 μB/cell.

```
NdEuTlPt
1.0
7.518 0.000 0.000
0.000 7.518 0.000
0.000 0.000 7.518
Nd Eu Tl Pt
4 4 4 4
direct
0.000 0.000 0.000
0.000 0.500 0.500
0.500 0.000 0.500
0.500 0.500 0.000
0.000 0.000 0.500
0.000 0.500 0.000
0.500 0.000 0.000
0.500 0.500 0.500
0.250 0.250 0.250
0.250 0.750 0.750
0.750 0.250 0.750
0.750 0.750 0.250
0.250 0.250 0.750
0.250 0.750 0.250
0.750 0.250 0.250
0.750 0.750 0.750
```

***

[6]
Nd2EuPu | PBE | relaxed

Computed properties:
For the formation energy, the calculation gives 120 meV per atom. As for the space group: P4/mmm. The calculation puts the excess energy over the best structure of this formula in the dataset at 0.00 eV/f.u. For the raw total energy, the calculation gives -8.4151 eV per atom. The value obtained for the total magnetic moment is 1.23 μB/cell.

```
Nd2EuPu
1.0
3.633 0.000 0.000
0.000 3.633 0.000
0.000 0.000 10.430
Nd Eu Pu
2 1 1
direct
0.000 0.000 0.232
0.000 0.000 0.768
0.500 0.500 0.500
0.500 0.500 0.000
```

***

[7]
Nd2EuPu | PBE | relaxed

Computed properties:
For the formation energy, the calculation gives 230 meV per atom. As for the space group: P4/mmm. The calculation puts the excess energy over the best structure of this formula in the dataset at 0.44 eV/f.u. For the raw total energy, the calculation gives -8.3054 eV per atom. The value obtained for the total magnetic moment is 0.75 μB/cell.

```
Nd2EuPu
1.0
5.225 0.000 0.000
0.000 5.225 0.000
0.000 0.000 4.979
Nd Eu Pu
2 1 1
direct
0.000 0.500 0.000
0.500 0.000 0.000
0.000 0.000 0.500
0.500 0.500 0.500
```

***

[8]
NdEuPu | PBE | relaxed

Computed properties:
For the formation energy, the calculation gives 197 meV per atom. As for the space group: I4mm. For the raw total energy, the calculation gives -9.5943 eV per atom. The value obtained for the total magnetic moment is 1.95 μB/cell.

```
NdEuPu
1.0
3.575 0.000 0.000
0.000 3.575 0.000
0.000 0.000 15.804
Nd Eu Pu
2 2 2
direct
0.000 0.000 0.000
0.500 0.500 0.500
0.000 0.000 0.676
0.500 0.500 0.176
0.000 0.000 0.347
0.500 0.500 0.847
```

***

[9]
RbNdEu2 | PBE | relaxed

Computed properties:
For the formation energy, the calculation gives 170 meV per atom. As for the space group: P4/mmm. For the raw total energy, the calculation gives -6.4015 eV per atom. The value obtained for the total magnetic moment is 15.44 μB/cell.

```
RbNdEu2
1.0
3.920 0.000 0.000
0.000 3.920 0.000
0.000 0.000 12.499
Rb Nd Eu
1 1 2
direct
0.000 0.000 0.000
0.000 0.000 0.500
0.500 0.500 0.295
0.500 0.500 0.705
```

***

[10]
Nd2EuRe | PBE | relaxed

Computed properties:
For the formation energy, the calculation gives 950 meV per atom. As for the space group: R-3m. For the raw total energy, the calculation gives -7.1150 eV per atom. The value obtained for the total magnetic moment is 22.77 μB/cell.

```
Nd2EuRe
1.0
3.345 0.000 0.000
-1.673 2.897 0.000
0.000 0.000 35.565
Nd Eu Re
6 3 3
direct
0.000 0.000 0.075
0.000 0.000 0.925
0.333 0.667 0.592
0.333 0.667 0.742
0.667 0.333 0.258
0.667 0.333 0.408
0.000 0.000 0.500
0.333 0.667 0.167
0.667 0.333 0.833
0.000 0.000 0.000
0.333 0.667 0.667
0.667 0.333 0.333
```

***

[11]
NdEuRe4 | PBE | relaxed

Computed properties:
For the formation energy, the calculation gives 123 meV per atom. As for the space group: F-43m. For the raw total energy, the calculation gives -10.6830 eV per atom. The value obtained for the total magnetic moment is 6.87 μB/cell.

```
NdEuRe4
1.0
0.000 3.880 3.880
3.880 0.000 3.880
3.880 3.880 0.000
Nd Eu Re
1 1 4
direct
0.000 0.000 0.000
0.750 0.750 0.750
0.375 0.375 0.375
0.375 0.375 0.875
0.375 0.875 0.375
0.875 0.375 0.375
```

***

[12]
NdEuRh | PBE | relaxed

Computed properties:
For the formation energy, the calculation gives -399 meV per atom. As for the space group: P3m1. The calculation puts the excess energy over the best structure of this formula in the dataset at 0.01 eV/f.u. For the raw total energy, the calculation gives -7.8634 eV per atom. The value obtained for the total magnetic moment is 7.10 μB/cell.

```
NdEuRh
1.0
4.116 0.000 0.000
-2.058 3.564 0.000
0.000 0.000 6.554
Nd Eu Rh
1 1 1
direct
0.000 0.000 0.000
0.667 0.333 0.518
0.333 0.667 0.775
```

***

[13]
Nd2EuRh | PBE | relaxed

Computed properties:
For the formation energy, the calculation gives -331 meV per atom. As for the space group: R-3m. The calculation puts the excess energy over the best structure of this formula in the dataset at 0.00 eV/f.u. For the raw total energy, the calculation gives -7.1213 eV per atom. The value obtained for the total magnetic moment is 23.80 μB/cell.

```
Nd2EuRh
1.0
4.070 0.000 0.000
-2.035 3.524 0.000
0.000 0.000 28.954
Nd Eu Rh
6 3 3
direct
0.000 0.000 0.221
0.000 0.000 0.779
0.333 0.667 0.445
0.333 0.667 0.888
0.667 0.333 0.112
0.667 0.333 0.555
0.000 0.000 0.000
0.333 0.667 0.667
0.667 0.333 0.333
0.000 0.000 0.500
0.333 0.667 0.167
0.667 0.333 0.833
```

***

[14]
NdEuRh | PBE | relaxed

Computed properties:
For the formation energy, the calculation gives -392 meV per atom. As for the space group: I4mm. The calculation puts the excess energy over the best structure of this formula in the dataset at 0.03 eV/f.u. For the raw total energy, the calculation gives -7.8567 eV per atom. The value obtained for the total magnetic moment is 14.16 μB/cell.

```
NdEuRh
1.0
3.571 0.000 0.000
0.000 3.571 0.000
0.000 0.000 13.361
Nd Eu Rh
2 2 2
direct
0.000 0.000 0.000
0.500 0.500 0.500
0.000 0.000 0.745
0.500 0.500 0.245
0.000 0.000 0.385
0.500 0.500 0.885
```

***

[15]
NdEu2Rh | PBE | relaxed

Computed properties:
For the formation energy, the calculation gives 18 meV per atom. As for the space group: R-3m. For the raw total energy, the calculation gives -8.1492 eV per atom. The value obtained for the total magnetic moment is 43.47 μB/cell.

```
NdEu2Rh
1.0
3.692 0.000 0.000
-1.846 3.197 0.000
0.000 0.000 32.373
Nd Eu Rh
3 6 3
direct
0.000 0.000 0.000
0.333 0.667 0.667
0.667 0.333 0.333
0.000 0.000 0.108
0.000 0.000 0.892
0.333 0.667 0.559
0.333 0.667 0.774
0.667 0.333 0.226
0.667 0.333 0.441
0.000 0.000 0.500
0.333 0.667 0.167
0.667 0.333 0.833
```